DFT (GGA+U) results for a geometry-optimized MnHIO2 structure.

The structure belongs to space group P4/mmm (No. 123); the cell edges are 3.652, 3.652 and 7.040 Å and the angles 90.00°, 90.00° and 90.00°. Symmetry generates all atoms from Mn at (0.000, 0.000, 0.000), H at (0.500, 0.500, 0.500), I at (0.000, 0.000, 0.500) and O at (0.000, 0.500, 0.000).

For the energy relative to the lowest polymorph listed for this composition, the calculation gives 0 meV per atom. The calculation puts the density of states at the Fermi level at 0.791 states/eV per atom.